Record 1
VASP calculation (PBE-GGA) on an optimized crystal structure of BaMgAg2As.

Computed properties:
energy = -3.1505 eV/atom
crystal system = tetragonal

Cell lengths 6.6403, 6.6403, 6.6403 Å; angles 139.26, 139.26, 58.99 degrees
Closest atoms and distances in Å follow each position.
Atoms (fractional coordinates):
Ag 0.7530 0.2530 0.5000  2 As 2.78, 2 Mg 2.78
As 0.3871 0.3871 0.0000  1 Mg 2.68, 4 Ag 2.78
Mg 0.6187 0.6187 0.0000  1 As 2.68, 4 Ag 2.78
Ba 0.9883 0.9883 0.0000  4 As 3.47, 8 Ag 3.57-3.84, 4 Mg 3.60
Ag 0.2530 0.7530 0.5000  2 As 2.78, 2 Mg 2.78



Record 2
VASP calculation (PBE-GGA) on an optimized crystal structure of RbDy2CuSeS3.

Computed properties:
magnetic moment = 0.00 μB per atom
energy = -5.3293 eV/atom
crystal system = orthorhombic

Cell lengths 7.2286, 7.2286, 13.9479 Å; angles 90.00, 90.00, 147.74 degrees
Closest atoms and distances in Å follow each position.
Atoms (fractional coordinates):
Se 0.9318 0.0682 0.7500  2 Cu 2.45
S 0.7573 0.2427 0.1071  1 Cu 2.34
S 0.7573 0.2427 0.3929  1 Cu 2.34
S 0.2427 0.7573 0.6071  1 Cu 2.34
Cu 0.6691 0.3309 0.2500  2 S 2.34, 2 Se 2.45
S 0.5000 0.5000 0.5000  4 Dy 2.86
Dy 0.8661 0.1340 0.9416  5 S 2.73-2.86, 1 Se 2.82
S 0.5000 0.5000 0.0000  4 Dy 2.86
Cu 0.3309 0.6691 0.7500  2 S 2.34, 2 Se 2.45
Rb 0.3838 0.6162 0.2500  2 Se 3.25, 4 S 3.33, 2 Cu 3.60
Dy 0.1340 0.8661 0.4416  5 S 2.73-2.86, 1 Se 2.82
Dy 0.8661 0.1340 0.5584  5 S 2.73-2.86, 1 Se 2.82
S 0.2427 0.7573 0.8929  1 Cu 2.34
Rb 0.6162 0.3838 0.7500  2 Se 3.25, 4 S 3.33, 2 Cu 3.60
Se 0.0682 0.9318 0.2500  2 Cu 2.45
Dy 0.1340 0.8661 0.0584  5 S 2.73-2.86, 1 Se 2.82



Record 3
VASP calculation (PBE-GGA) on an optimized crystal structure of K2TcS3.

Computed properties:
magnetic moment = 0.12 μB per atom
ΔE to the lowest computed polymorph = 0.000 eV per atom
crystal system = monoclinic

Cell lengths 7.4224, 7.4224, 9.5089 Å; angles 121.93, 121.93, 53.31 degrees
Closest atoms and distances in Å follow each position.
Atoms (fractional coordinates):
K 0.9134 0.9134 0.6292  7 S 3.19-3.36
K 0.3098 0.3098 0.1946  5 S 3.25-3.35
S 0.7713 0.2287 0.0000  2 Tc 2.26
S 0.2023 0.2023 0.7837  1 Tc 2.24
S 0.2287 0.7713 0.0000  2 Tc 2.26
Tc 0.6088 0.6088 0.1633  4 S 2.24-2.26
S 0.6112 0.6112 0.4003  1 Tc 2.24
K 0.6902 0.6902 0.8054  5 S 3.25-3.35
S 0.3888 0.3888 0.5997  1 Tc 2.24
K 0.0866 0.0866 0.3708  7 S 3.19-3.36
Tc 0.3912 0.3912 0.8367  4 S 2.24-2.26
S 0.7977 0.7977 0.2163  1 Tc 2.24



Record 4
VASP calculation (PBE-GGA) on an optimized crystal structure of PrTaZn.

Computed properties:
magnetic moment = 0.01 μB per atom
ΔE to the lowest computed polymorph = 0.000 eV per atom
crystal system = cubic

Cell lengths 4.6930, 4.6930, 4.6930 Å; angles 60.00, 60.00, 60.00 degrees
Closest atoms and distances in Å follow each position.
Atoms (fractional coordinates):
Pr 0.2500 0.2500 0.2500  4 Zn 2.87
Ta 0.7500 0.7500 0.7500  4 Zn 2.87
Zn 0.0000 0.0000 0.0000  4 Pr 2.87, 4 Ta 2.87



Record 5
VASP calculation (PBE-GGA) on an optimized crystal structure of LaAlCuAu.

Computed properties:
magnetic moment = 0.00 μB per atom
ΔE to the lowest computed polymorph = 0.113 eV per atom
crystal system = cubic

Cell lengths 4.8248, 4.8248, 4.8248 Å; angles 60.00, 60.00, 60.00 degrees
Closest atoms and distances in Å follow each position.
Atoms (fractional coordinates):
Cu 0.5000 0.5000 0.5000  4 Au 2.95, 4 La 2.95
La 0.2500 0.2500 0.2500  4 Cu 2.95, 4 Al 2.95
Al 0.0000 0.0000 0.0000  4 Au 2.95, 4 La 2.95
Au 0.7500 0.7500 0.7500  4 Cu 2.95, 4 Al 2.95



Record 6
VASP calculation (PBE-GGA) on an optimized crystal structure of SmScSb.

Computed properties:
magnetic moment = 0.06 μB per atom
energy = -5.9331 eV/atom
crystal system = tetragonal

Cell lengths 4.3883, 4.3883, 8.2795 Å; angles 90.00, 90.00, 90.00 degrees
Closest atoms and distances in Å follow each position.
Atoms (fractional coordinates):
Sm 0.5000 0.0000 0.1504  5 Sb 3.19-3.25
Sc 0.5000 0.5000 0.5000  4 Sb 3.06, 4 Sc 3.10
Sm 0.0000 0.5000 0.8496  5 Sb 3.19-3.25
Sb 0.5000 0.0000 0.7584  4 Sc 3.06, 5 Sm 3.19-3.25
Sc 0.0000 0.0000 0.5000  4 Sb 3.06, 4 Sc 3.10
Sb 0.0000 0.5000 0.2416  4 Sc 3.06, 5 Sm 3.19-3.25